DFT (PBE+U) results for an optimized crystal structure of Sr2AlGaW2O7.

Cell lengths 5.571, 6.195, 11.747 Å; angles 104.36, 102.47, 91.56 degrees
Fractional positions:
Sr  0.000  0.000  0.000
Sr  0.178  0.207  0.363
Sr  0.460  0.457  0.992
Sr  0.675  0.634  0.366
Al  0.347  0.293  0.655
Al  0.978  0.951  0.704
Ga  0.101  0.642  0.180
Ga  0.613  0.994  0.179
W  0.243  0.730  0.544
W  0.432  0.880  0.827
W  0.733  0.247  0.540
W  0.883  0.418  0.824
O  0.005  0.420  0.037
O  0.096  0.410  0.566
O  0.110  0.584  0.330
O  0.161  0.690  0.876
O  0.209  0.208  0.773
O  0.385  0.055  0.532
O  0.435  0.732  0.183
O  0.503  0.080  0.037
O  0.523  0.518  0.514
O  0.647  0.197  0.330
O  0.672  0.669  0.894
O  0.768  0.049  0.799
O  0.902  0.927  0.546
O  0.941  0.909  0.185

Output
E_tot: -6.51 eV/atom
total moment: 11.99 μB/cell
SG: No. 1
V: 382.1 Å³ per cell
crystal system: triclinic